This record from the Alexandria database describes an optimized crystal structure of Ba5Br12Cl3. The functional is PBE-GGA.

Output
- Size of the total moment: 0.2521 μB per atom
- Formation energy from raw total energies: -1387 meV per atom
- E_tot: -503.74 eV/cell

Unit cell a=18.9549 b=18.9549 c=18.9549 alpha=90.00 beta=90.00 gamma=90.00
Space group Ia-3d (No. 230)
Symmetry-distinct sites (fractional):
Ba1 0.0000 0.0000 0.0000 [16 per cell]
Ba2 0.0000 0.2500 0.3750 [24 per cell]
Br1 0.0123 0.0655 0.3423 [96 per cell]
Cl1 0.0000 0.2500 0.1250 [24 per cell]